Entry from the Alexandria database: a geometry-optimized Co2CuBO structure (PBE with a Hubbard U).

Lattice parameters (Å, degrees): 4.5848 4.5848 3.4427 90.00 90.00 90.00
Closest atoms and distances in Å follow each position.
Space group P4/mmm (No. 123)
Inequivalent atoms, fractional coordinates:
Co1 0.0000 0.5000 0.0000 [2 per cell]  2 Cu 2.29
Cu1 0.0000 0.0000 0.0000 [1 per cell]  2 O 1.72
B1 0.5000 0.5000 0.5000 [1 per cell]  8 Co 2.87
O1 0.0000 0.0000 0.5000 [1 per cell]  2 Cu 1.72

Calculated values
Spin magnetization ... 4.186 μB per formula unit
Volume ... 14.47 A^3/atom
E_tot ... -3.894 eV per atom